(1)
This record from Alexandria describes MgMn2Re2 after structural relaxation. The functional is PBE.

a = 7.2547 Å, b = 7.2547 Å, c = 2.7213 Å
α = 90.00°, β = 90.00°, γ = 90.00°
Fractional coordinates of all 10 atoms:
Mg: 0.0000 0.0000 0.0000
Mg: 0.5000 0.5000 0.0000
Mn: 0.1298 0.3702 0.0000
Mn: 0.3702 0.8702 0.0000
Mn: 0.6298 0.1298 0.0000
Mn: 0.8702 0.6298 0.0000
Re: 0.1593 0.6593 0.5000
Re: 0.3407 0.1593 0.5000
Re: 0.6593 0.8407 0.5000
Re: 0.8407 0.3407 0.5000

Results
total moment = 0.0 μB per formula unit

(2)
This record from Alexandria describes MgMn2Re2 after structural relaxation. The functional is PBE.

a = 5.7739 Å, b = 5.7739 Å, c = 5.7739 Å
α = 139.09°, β = 139.09°, γ = 59.24°
Fractional coordinates of all 5 atoms:
Mg: 0.0000 0.0000 0.0000
Mn: 0.2500 0.7500 0.5000
Mn: 0.7500 0.2500 0.5000
Re: 0.3762 0.3762 0.0000
Re: 0.6238 0.6238 0.0000

Results
total moment = 1.5 μB per formula unit

Result of the stability comparison: (1) is the most stable of them.